Material: Mg2MnHg
Method: DFT, PBE-GGA
State: relaxed

Computed properties:
E above lowest polymorph: 47 meV/atom
ΔH_f (0 K): 97 meV/atom

abc: 3.360 3.615 6.445
angles: 90.00 90.00 90.00
Site moments in Bohr magnetons follow the coordinates.
Atoms (fractional coordinates):
Mg: 0.500 0.500 0.274  -0.03
Mg: 0.000 0.000 0.990  0.00
Hg: 0.500 0.500 0.736  0.00
Mn: 0.000 0.000 0.500  3.71

Material: MgMn2Hg
Method: DFT, PBE-GGA
State: relaxed

Computed properties:
E above lowest polymorph: 101 meV/atom
ΔH_f (0 K): 250 meV/atom

abc: 5.032 5.032 5.032
angles: 132.43 132.43 69.56
Site moments in Bohr magnetons follow the coordinates.
Atoms (fractional coordinates):
Mn: 0.500 0.500 0.000  3.42
Mn: 0.000 0.000 0.000  3.42
Mg: 0.750 0.250 0.500  -0.05
Hg: 0.250 0.750 0.500  -0.07

Material: Mg2MnHg
Method: DFT, PBE-GGA
State: relaxed

Computed properties:
E above lowest polymorph: 24 meV/atom
ΔH_f (0 K): 74 meV/atom

abc: 5.139 5.139 5.139
angles: 130.93 130.93 71.93
Site moments in Bohr magnetons follow the coordinates.
Atoms (fractional coordinates):
Mn: 0.500 0.500 0.000  3.63
Hg: 0.750 0.250 0.500  -0.03
Mg: 0.000 0.000 0.000  -0.03
Mg: 0.250 0.750 0.500  -0.03

Material: MgMnHg
Method: DFT, PBE-GGA
State: relaxed

Computed properties:
ΔH_f (0 K): 164 meV/atom

abc: 5.888 5.887 3.238
angles: 74.04 74.04 31.92
Site moments in Bohr magnetons follow the coordinates.
Atoms (fractional coordinates):
Mn: 0.335 0.335 0.665  3.64
Hg: 0.993 0.993 0.007  -0.01
Mg: 0.673 0.673 0.327  -0.04

Material: MgMn2Hg
Method: DFT, PBE-GGA
State: relaxed

Computed properties:
E above lowest polymorph: 155 meV/atom
ΔH_f (0 K): 303 meV/atom

abc: 5.011 5.011 5.026
angles: 79.65 79.65 34.90
Site moments in Bohr magnetons follow the coordinates.
Atoms (fractional coordinates):
Mn: 0.999 0.999 0.990  3.57
Mn: 0.501 0.501 0.510  3.57
Hg: 0.250 0.250 0.250  -0.04
Mg: 0.750 0.750 0.750  -0.04

Material: MgMn2Hg
Method: DFT, PBE-GGA
State: relaxed

Computed properties:
E above lowest polymorph: 146 meV/atom
ΔH_f (0 K): 294 meV/atom

abc: 3.917 3.072 6.539
angles: 61.73 90.00 90.00
Site moments in Bohr magnetons follow the coordinates.
Atoms (fractional coordinates):
Hg: 0.500 0.250 0.250  -0.08
Mn: 0.000 0.002 0.998  3.46
Mn: 0.000 0.498 0.502  3.46
Mg: 0.500 0.750 0.750  -0.05

| no. | volume (Å³ per cell) |
| --- | --- |
| 1 | 78.3 |
| 2 | 68.1 |
| 3 | 75.8 |
| 4 | 56.9 |
| 5 | 70.9 |
| 6 | 69.3 |